The following is a PBE calculation of crystalline AsSe2NCl at its relaxed geometry, from Alexandria via LeMat-Bulk.

The space group is P4/mmm (No. 123) and the conventional cell measures 5.234, 5.234 and 3.465 Å, with angles of 90.00, 90.00 and 90.00 degrees. Symmetry generates all atoms from As at (0.000, 0.000, 0.000), Se at (0.000, 0.500, 0.500), N at (0.500, 0.500, 0.000) and Cl at (0.500, 0.500, 0.500).

Its formation energy from raw total energies is 1.5506 eV/atom. As for the calculated total energy: -14.04 eV/cell. The offset from the most stable computed form is 557 meV per atom. Its crystal system is tetragonal.

The following is a PBE calculation of crystalline BiOs at its relaxed geometry, from Alexandria via LeMat-Bulk.

The space group is Amm2 (No. 38) and the conventional cell measures 3.905, 8.602 and 8.132 Å, with angles of 90.00, 90.00 and 90.00 degrees. Symmetry generates all atoms from Bi at (0.000, 0.000, 0.000), Bi at (0.500, 0.190, 0.332), Os at (0.000, 0.154, 0.616) and Os at (0.500, 0.000, 0.738).

As for the calculated total energy: -82.15 eV/cell. The offset from the most stable computed form is 0 meV per atom. For the formation enthalpy at 0 K, the calculation gives 710 meV per atom. Its crystal system is orthorhombic.

The following is a PBE calculation of crystalline BeAl2SnH at its relaxed geometry, from Alexandria via LeMat-Bulk.

The space group is P4/mmm (No. 123) and the conventional cell measures 4.290, 4.290 and 5.046 Å, with angles of 90.00, 90.00 and 90.00 degrees. Symmetry generates all atoms from Be at (0.000, 0.000, 0.000), Al at (0.000, 0.500, 0.000), Sn at (0.000, 0.000, 0.500) and H at (0.500, 0.500, 0.500).

As for the calculated total energy: -14.99 eV/cell. Its crystal system is tetragonal.

The following is a PBE calculation of crystalline MnMoPb2 at its relaxed geometry, from Alexandria via LeMat-Bulk.

The space group is R-3m (No. 166, hexagonal axes) and the conventional cell measures 3.2847, 3.2847 and 27.2748 Å, with angles of 90.00, 90.00 and 120.00 degrees. Symmetry generates all atoms from Mn at (0.0000, 0.0000, 0.0000), Mo at (0.0000, 0.0000, 0.5000) and Pb at (0.0000, 0.0000, 0.2480).

As for the calculated total energy: -73.52 eV/cell. The offset from the most stable computed form is 379 meV per atom. For the formation enthalpy at 0 K, the calculation gives 728 meV per atom. Its crystal system is trigonal.

The following is a PBE calculation of crystalline CrRu2Se at its relaxed geometry, from Alexandria via LeMat-Bulk.

The space group is I-42d (No. 122) and the conventional cell measures 5.339, 5.339 and 10.928 Å, with angles of 90.00, 90.00 and 90.00 degrees. Symmetry generates all atoms from Cr at (0.000, 0.000, 0.000), Ru at (0.227, 0.250, 0.125) and Se at (0.000, 0.000, 0.500).

Its formation energy from raw total energies is 0.5757 eV/atom. As for the calculated total energy: -117.43 eV/cell. Its crystal system is tetragonal.

The following is a PBE calculation of crystalline NpTcNiGe2 at its relaxed geometry, from Alexandria via LeMat-Bulk.

The space group is I-4m2 (No. 119) and the conventional cell measures 4.071, 4.071 and 10.477 Å, with angles of 90.00, 90.00 and 90.00 degrees. Symmetry generates all atoms from Np at (0.000, 0.000, 0.000), Tc at (0.000, 0.500, 0.750), Ni at (0.000, 0.500, 0.250) and Ge at (0.000, 0.000, 0.377).

As for the calculated total energy: -78.88 eV/cell. For the formation enthalpy at 0 K, the calculation gives -223 meV per atom. Its crystal system is tetragonal.

The following is a PBE calculation of crystalline MnCdIn2 at its relaxed geometry, from Alexandria via LeMat-Bulk.

The space group is P4/mmm (No. 123) and the conventional cell measures 4.423, 4.423 and 4.324 Å, with angles of 90.00, 90.00 and 90.00 degrees. Symmetry generates all atoms from Mn at (0.000, 0.000, 0.000), Cd at (0.500, 0.500, 0.000) and In at (0.000, 0.500, 0.500).

As for the calculated total energy: -14.79 eV/cell. For the formation enthalpy at 0 K, the calculation gives 192 meV per atom. Its crystal system is tetragonal.

The following is a PBE calculation of crystalline Si3Au4 at its relaxed geometry, from Alexandria via LeMat-Bulk.

The space group is P6/mmm (No. 191) and the conventional cell measures 5.0846, 5.0846 and 5.4201 Å, with angles of 90.00, 90.00 and 120.00 degrees. Symmetry generates all atoms from Si at (0.0000, 0.5000, 0.0000), Au at (0.0000, 0.0000, 0.2540) and Au at (0.3333, 0.6667, 0.5000).

Its formation energy from raw total energies is 0.3627 eV/atom. As for the calculated total energy: -26.84 eV/cell. The offset from the most stable computed form is 279 meV per atom. Its crystal system is hexagonal.

The following is a PBE calculation of crystalline SmTh3C at its relaxed geometry, from Alexandria via LeMat-Bulk.

The space group is Pm-3m (No. 221) and the conventional cell measures 5.176, 5.176 and 5.176 Å, with angles of 90.00, 90.00 and 90.00 degrees. Symmetry generates all atoms from Sm at (0.000, 0.000, 0.000), Th at (0.000, 0.500, 0.500) and C at (0.500, 0.500, 0.500).

As for the calculated total energy: -36.72 eV/cell. For the formation enthalpy at 0 K, the calculation gives -103 meV per atom. Its crystal system is cubic.

The following is a PBE calculation of crystalline Gd2TlOs at its relaxed geometry, from Alexandria via LeMat-Bulk.

The space group is Fm-3m (No. 225) and the conventional cell measures 7.231, 7.231 and 7.231 Å, with angles of 90.00, 90.00 and 90.00 degrees. Symmetry generates all atoms from Gd at (0.250, 0.250, 0.250), Tl at (0.000, 0.000, 0.000) and Os at (0.000, 0.000, 0.500).

As for the calculated total energy: -168.89 eV/cell. The offset from the most stable computed form is 165 meV per atom. For the formation enthalpy at 0 K, the calculation gives -116 meV per atom. Its crystal system is cubic.

The following is a PBE calculation of crystalline Sr6Li7 at its relaxed geometry, from Alexandria via LeMat-Bulk.

The space group is R-3m (No. 166, hexagonal axes) and the conventional cell measures 6.6658, 6.6658 and 37.3534 Å, with angles of 90.00, 90.00 and 120.00 degrees. Symmetry generates all atoms from Sr at (0.0000, 0.0000, 0.0515), Sr at (0.0000, 0.0000, 0.1540), Sr at (0.0000, 0.0000, 0.3324), Li at (0.0000, 0.0000, 0.5000) and Li at (0.0070, 0.5035, 0.0958).

As for the calculated total energy: -69.08 eV/cell. For the formation enthalpy at 0 K, the calculation gives 35 meV per atom. Its crystal system is trigonal.

The following is a PBE calculation of crystalline Na2HfPbCl8 at its relaxed geometry, from Alexandria via LeMat-Bulk.

The space group is P2/m (No. 10) and the conventional cell measures 6.419, 8.433 and 6.614 Å, with angles of 90.00, 92.71 and 90.00 degrees. Symmetry generates all atoms from Na at (0.000, 0.247, 0.000), Hf at (0.500, 0.500, 0.500), Pb at (0.500, 0.000, 0.500), Cl at (0.211, 0.000, 0.174), Cl at (0.245, 0.500, 0.210) and Cl at (0.297, 0.291, 0.664).

Its formation energy from raw total energies is -1.6434 eV/atom. As for the calculated total energy: -50.79 eV/cell. Its crystal system is monoclinic.

The following is a PBE calculation of crystalline MgMnBRh2 at its relaxed geometry, from Alexandria via LeMat-Bulk.

The space group is P4/mmm (No. 123) and the conventional cell measures 4.140, 4.140 and 4.022 Å, with angles of 90.00, 90.00 and 90.00 degrees. Symmetry generates all atoms from Mg at (0.000, 0.000, 0.000), Mn at (0.500, 0.500, 0.000), B at (0.500, 0.500, 0.500) and Rh at (0.000, 0.500, 0.500).

As for the calculated total energy: -33.83 eV/cell. For the formation enthalpy at 0 K, the calculation gives -337 meV per atom. Its crystal system is tetragonal.

The following is a PBE calculation of crystalline VHPt2 at its relaxed geometry, from Alexandria via LeMat-Bulk.

The space group is I-42d (No. 122) and the conventional cell measures 6.312, 6.312 and 4.947 Å, with angles of 90.00, 90.00 and 90.00 degrees. Symmetry generates all atoms from V at (0.000, 0.000, 0.000), H at (0.000, 0.000, 0.500) and Pt at (0.152, 0.250, 0.625).

As for the calculated total energy: -99.16 eV/cell. The offset from the most stable computed form is 87 meV per atom. Its crystal system is tetragonal.

The following is a PBE calculation of crystalline RbSr2Sb2 at its relaxed geometry, from Alexandria via LeMat-Bulk.

The space group is P4/mbm (No. 127) and the conventional cell measures 9.749, 9.749 and 3.849 Å, with angles of 90.00, 90.00 and 90.00 degrees. Symmetry generates all atoms from Rb at (0.000, 0.000, 0.000), Sr at (0.131, 0.369, 0.000) and Sb at (0.165, 0.665, 0.500).

Its formation energy from raw total energies is -0.7852 eV/atom. As for the calculated total energy: -33.00 eV/cell. The offset from the most stable computed form is 0 meV per atom. Its crystal system is tetragonal.

The following is a PBE calculation of crystalline Cs3UPa3S8 at its relaxed geometry, from Alexandria via LeMat-Bulk.

The space group is R-3m (No. 166, hexagonal axes) and the conventional cell measures 8.0480, 8.0480 and 24.9450 Å, with angles of 90.00, 90.00 and 120.00 degrees. Symmetry generates all atoms from Cs at (0.0000, 0.5000, 0.0000), U at (0.0000, 0.0000, 0.5000), Pa at (0.0000, 0.5000, 0.5000), S at (0.0000, 0.0000, 0.2285) and S at (0.0025, 0.5012, 0.7727).

Its formation energy from raw total energies is -1.4811 eV/atom. As for the calculated total energy: -292.72 eV/cell. Its crystal system is trigonal.

The following is a PBE calculation of crystalline TaBTe2I at its relaxed geometry, from Alexandria via LeMat-Bulk.

The space group is P4/mmm (No. 123) and the conventional cell measures 5.390, 5.390 and 5.671 Å, with angles of 90.00, 90.00 and 90.00 degrees. Symmetry generates all atoms from Ta at (0.000, 0.000, 0.000), B at (0.500, 0.500, 0.500), Te at (0.000, 0.500, 0.000) and I at (0.000, 0.000, 0.500).

Its formation energy from raw total energies is 1.1500 eV/atom. As for the calculated total energy: -20.61 eV/cell. The offset from the most stable computed form is 0 meV per atom. Its crystal system is tetragonal.

The following is a PBE calculation of crystalline La4DyY10 at its relaxed geometry, from Alexandria via LeMat-Bulk.

The space group is I4/m (No. 87) and the conventional cell measures 10.061, 10.061 and 10.205 Å, with angles of 90.00, 90.00 and 90.00 degrees. Symmetry generates all atoms from La at (0.066, 0.329, 0.000), Dy at (0.000, 0.000, 0.000), Y at (0.000, 0.500, 0.250) and Y at (0.111, 0.206, 0.334).

As for the calculated total energy: -166.85 eV/cell. For the formation enthalpy at 0 K, the calculation gives 369 meV per atom. Its crystal system is tetragonal.

The following is a PBE calculation of crystalline Pm2Tm2Mg at its relaxed geometry, from Alexandria via LeMat-Bulk.

The space group is I4_1/amd (No. 141, origin choice 2) and the conventional cell measures 5.184, 5.184 and 24.559 Å, with angles of 90.00, 90.00 and 90.00 degrees. Symmetry generates all atoms from Pm at (0.000, 0.250, 0.047), Tm at (0.000, 0.250, 0.200) and Mg at (0.000, 0.250, 0.875).

As for the calculated total energy: -76.24 eV/cell. The offset from the most stable computed form is 213 meV per atom. For the formation enthalpy at 0 K, the calculation gives 196 meV per atom. Its crystal system is tetragonal.

The following is a PBE calculation of crystalline Cu3GeAu at its relaxed geometry, from Alexandria via LeMat-Bulk.

The space group is Cmcm (No. 63) and the conventional cell measures 11.549, 7.316 and 8.250 Å, with angles of 90.00, 90.00 and 90.00 degrees. Symmetry generates all atoms from Cu at (0.000, 0.180, 0.003), Cu at (0.103, 0.500, 0.000), Cu at (0.115, 0.301, 0.750), Ge at (0.000, 0.006, 0.750), Ge at (0.000, 0.381, 0.250) and Au at (0.250, 0.250, 0.000).

As for the calculated total energy: -152.65 eV/cell. The offset from the most stable computed form is 188 meV per atom. For the formation enthalpy at 0 K, the calculation gives 220 meV per atom. Its crystal system is orthorhombic.

The following is a PBE calculation of crystalline RbPu2Cu2Se6 at its relaxed geometry, from Alexandria via LeMat-Bulk.

The space group is P-1 (No. 2) and the conventional cell measures 7.459, 7.630 and 7.755 Å, with angles of 62.58, 62.94 and 61.14 degrees. Symmetry generates all atoms from Rb at (0.000, 0.000, 0.000), Pu at (0.330, 0.331, 0.007), Cu at (0.434, 0.686, 0.568), Se at (0.086, 0.671, 0.753), Se at (0.317, 0.531, 0.245) and Se at (0.479, 0.080, 0.756).

Its formation energy from raw total energies is -0.8433 eV/atom. As for the calculated total energy: -68.01 eV/cell. Its crystal system is triclinic.

The following is a PBE calculation of crystalline Sr2CuSn3Rh4 at its relaxed geometry, from Alexandria via LeMat-Bulk.

The space group is P-4m2 (No. 115) and the conventional cell measures 4.446, 4.446 and 10.994 Å, with angles of 90.00, 90.00 and 90.00 degrees. Symmetry generates all atoms from Sr at (0.000, 0.500, 0.243), Cu at (0.500, 0.500, 0.000), Sn at (0.000, 0.000, 0.000), Sn at (0.000, 0.500, 0.629), Rh at (0.000, 0.000, 0.500), Rh at (0.000, 0.500, 0.871) and Rh at (0.500, 0.500, 0.500).

As for the calculated total energy: -54.11 eV/cell. For the formation enthalpy at 0 K, the calculation gives -524 meV per atom. Its crystal system is tetragonal.

The following is a PBE calculation of crystalline CeHoZr at its relaxed geometry, from Alexandria via LeMat-Bulk.

The space group is I4mm (No. 107) and the conventional cell measures 3.305, 3.305 and 15.009 Å, with angles of 90.00, 90.00 and 90.00 degrees. Symmetry generates all atoms from Ce at (0.000, 0.000, 0.000), Ho at (0.000, 0.000, 0.318) and Zr at (0.000, 0.000, 0.660).

As for the calculated total energy: -37.48 eV/cell. The offset from the most stable computed form is 22 meV per atom. For the formation enthalpy at 0 K, the calculation gives 106 meV per atom. Its crystal system is tetragonal.

The following is a PBE calculation of crystalline ScBe2SiRh at its relaxed geometry, from Alexandria via LeMat-Bulk.

The space group is Imm2 (No. 44) and the conventional cell measures 3.259, 3.855 and 10.551 Å, with angles of 90.00, 90.00 and 90.00 degrees. Symmetry generates all atoms from Sc at (0.000, 0.000, 0.000), Be at (0.000, 0.000, 0.613), Be at (0.000, 0.500, 0.265), Si at (0.000, 0.000, 0.399) and Rh at (0.000, 0.500, 0.736).

Its formation energy from raw total energies is -0.5634 eV/atom. As for the calculated total energy: -58.75 eV/cell. Its crystal system is orthorhombic.